# 1
The following is a GGA-PBE calculation of TbTm2InAu4 after structural relaxation, from the Alexandria database.

total DFT energy (no corrections) = -35.72 eV/cell
magnetization = 0.0 Bohr magnetons per cell
SG = R-3m (166)

Cell: 4.984 4.984 8.755 Å, 73.46 73.46 60.00°
Sites, in units of the cell vectors:
Tm  0.243  0.243  0.271
Au  0.120  0.120  0.641
Tb  0.000  0.000  0.000
Au  0.633  0.633  0.101
Au  0.880  0.880  0.359
Au  0.367  0.367  0.899
Tm  0.757  0.757  0.729
In  0.500  0.500  0.500

# 2
The following is a GGA-PBE calculation of NdTlHg after structural relaxation, from the Alexandria database.

total DFT energy (no corrections) = -8.30 eV/cell
magnetization = 0.0 Bohr magnetons per cell
SG = I4mm (107)

Cell: 3.746 3.746 6.518 Å, 106.70 106.70 90.00°
Sites, in units of the cell vectors:
Hg  0.282  0.282  0.564
Nd  0.943  0.943  0.887
Tl  0.624  0.624  0.249

# 3
The following is a GGA-PBE calculation of Y2PCl after structural relaxation, from the Alexandria database.

E_form (uncorrected) = -1.337 eV/atom
magnetization = 1.6 Bohr magnetons per cell
SG = Imm2 (44)

Cell: 7.092 7.092 7.092 Å, 149.44 148.74 44.28°
Sites, in units of the cell vectors:
Cl  0.459  0.459  0.000
P  0.207  0.707  0.500
Y  0.782  0.282  0.500
Y  0.052  0.052  0.000

# 4
The following is a GGA-PBE calculation of SmDy3S4 after structural relaxation, from the Alexandria database.

E_form (uncorrected) = -1.998 eV/atom
magnetization = 0.0 Bohr magnetons per cell
SG = Cmmm (65)

Cell: 3.896 6.831 6.831 Å, 109.04 90.00 90.00°
Sites, in units of the cell vectors:
S  0.000  0.257  0.257
Dy  0.000  0.500  0.000
S  0.000  0.743  0.743
Dy  0.500  0.500  0.500
Dy  0.000  0.000  0.500
Sm  0.500  0.000  0.000
S  0.500  0.253  0.747
S  0.500  0.747  0.253

# 5
The following is a GGA-PBE calculation of TlZn2Cu after structural relaxation, from the Alexandria database.

total DFT energy (no corrections) = -8.05 eV/cell
magnetization = 0.0 Bohr magnetons per cell
SG = I4/mmm (139)

Cell: 5.087 5.087 5.087 Å, 132.43 132.43 69.55°
Sites, in units of the cell vectors:
Zn  0.000  0.000  0.000
Cu  0.250  0.750  0.500
Tl  0.750  0.250  0.500
Zn  0.500  0.500  0.000

# 6
The following is a GGA-PBE calculation of BaPt2Pb2 after structural relaxation, from the Alexandria database.

total DFT energy (no corrections) = -45.53 eV/cell
magnetization = 0.0 Bohr magnetons per cell
SG = P4/mbm (127)

Cell: 8.258 8.258 3.823 Å, 90.00 90.00 90.00°
Sites, in units of the cell vectors:
Pt  0.626  0.126  0.000
Pb  0.348  0.152  0.500
Pt  0.126  0.374  0.000
Ba  0.000  0.000  0.000
Pt  0.374  0.874  0.000
Pb  0.652  0.848  0.500
Ba  0.500  0.500  0.000
Pb  0.152  0.652  0.500
Pt  0.874  0.626  0.000
Pb  0.848  0.348  0.500

# 7
The following is a GGA-PBE calculation of Na2TlPd after structural relaxation, from the Alexandria database.

total DFT energy (no corrections) = -21.63 eV/cell
magnetization = 0.0 Bohr magnetons per cell
SG = Cm (8)

Cell: 4.933 6.048 7.984 Å, 72.65 72.01 65.93°
Sites, in units of the cell vectors:
Na  0.199  0.271  0.331
Na  0.818  0.839  0.526
Na  0.817  0.343  0.023
Pd  0.049  0.777  0.125
Pd  0.582  0.907  0.929
Na  0.441  0.405  0.714
Tl  0.135  0.975  0.755
Tl  0.501  0.700  0.297

# 8
The following is a GGA-PBE calculation of Os after structural relaxation, from the Alexandria database.

total DFT energy (no corrections) = -39.69 eV/cell
magnetization = 0.0 Bohr magnetons per cell
SG = P6_3/mmc (194)

Cell: 3.848 3.848 6.718 Å, 90.00 90.00 120.00°
Sites, in units of the cell vectors:
Os  0.667  0.333  0.566
Os  0.333  0.667  0.066
Os  0.333  0.667  0.434
Os  0.667  0.333  0.934